1.
VASP calculation (PBE) on crystalline Be2Pt2Se at its relaxed geometry.

The structure in extended XYZ format:
```
5
Lattice="3.883 0.000 0.000 0.000 3.883 0.000 1.942 1.942 5.053" Properties=species:S:1:pos:R:3 pbc="T T T"
Be 1.942 1.942 1.303
Be 3.883 3.883 3.750
Se 0.000 0.000 0.000
Pt 3.883 1.942 2.526
Pt 1.942 3.883 2.526
```

Its formation energy without anion corrections is -80 meV/atom. The density of states at the Fermi level comes out at 0.231 states/eV/atom. As for the crystal system: tetragonal. The calculated volume comes out at 76 Å³/f.u.

---

2.
VASP calculation (PBE) on crystalline BePtSe2 at its relaxed geometry.

The structure in extended XYZ format:
```
4
Lattice="-2.201 -6.563 -0.933 4.298 -5.499 -0.278 -3.389 5.398 2.857" Properties=species:S:1:pos:R:3 pbc="T T T"
Be 1.149 -6.606 -0.663
Se 1.814 -10.433 -1.047
Se 1.274 -4.764 0.816
Pt -2.383 -2.953 0.724
```

Its formation energy without anion corrections is 77 meV/atom. The density of states at the Fermi level comes out at 0.159 states/eV/atom. As for the crystal system: orthorhombic. The calculated volume comes out at 101 Å³/f.u.

---

3.
VASP calculation (PBE) on crystalline Be2Pt2Se at its relaxed geometry.

The structure in extended XYZ format:
```
10
Lattice="-2.972 -3.498 -5.357 5.946 -3.691 -0.889 -0.918 -1.900 1.750" Properties=species:S:1:pos:R:3 pbc="T T T"
Be 4.041 -4.428 -2.688
Be 1.256 -5.371 -5.172
Be -1.068 -2.761 -3.558
Be 1.717 -1.818 -1.073
Se 0.000 0.000 0.000
Se 1.487 -3.594 -3.123
Pt 2.944 -3.836 -0.473
Pt 2.710 -6.362 -3.339
Pt -0.889 -5.253 -4.023
Pt -0.655 -2.727 -1.157
```

Its formation energy without anion corrections is -243 meV/atom. The density of states at the Fermi level comes out at 0.270 states/eV/atom. As for the crystal system: tetragonal. The calculated volume comes out at 68 Å³/f.u.

---

4.
VASP calculation (PBE) on crystalline BePtSe2 at its relaxed geometry.

The structure in extended XYZ format:
```
4
Lattice="4.398 -0.080 0.000 -3.115 3.106 0.000 0.000 0.000 6.954" Properties=species:S:1:pos:R:3 pbc="T T T"
Be 0.642 1.513 1.739
Se 0.000 0.000 0.157
Se 0.000 0.000 3.320
Pt 0.642 1.513 5.216
```

Its formation energy without anion corrections is 186 meV/atom. The density of states at the Fermi level comes out at 0.772 states/eV/atom. As for the crystal system: orthorhombic. The calculated volume comes out at 93 Å³/f.u.

---

5.
VASP calculation (PBE) on crystalline BePt2Se2 at its relaxed geometry.

The structure in extended XYZ format:
```
10
Lattice="5.893 0.000 0.000 0.000 5.893 0.000 0.000 0.000 5.020" Properties=species:S:1:pos:R:3 pbc="T T T"
Be 0.000 0.000 0.000
Be 2.946 2.946 0.000
Se 1.632 4.578 2.510
Se 4.578 4.261 2.510
Se 4.261 1.315 2.510
Se 1.315 1.632 2.510
Pt 1.985 4.932 0.000
Pt 4.932 3.907 0.000
Pt 3.907 0.961 0.000
Pt 0.961 1.985 0.000
```

Its formation energy without anion corrections is -28 meV/atom. The density of states at the Fermi level comes out at 0.430 states/eV/atom. As for the crystal system: tetragonal. The calculated volume comes out at 87 Å³/f.u.

---

6.
VASP calculation (PBE) on crystalline Be3PtSe at its relaxed geometry.

The structure in extended XYZ format:
```
5
Lattice="4.177 0.000 0.000 0.000 4.177 0.000 0.000 0.000 4.177" Properties=species:S:1:pos:R:3 pbc="T T T"
Be 0.000 2.088 0.000
Be 0.000 0.000 2.088
Be 2.088 0.000 0.000
Se 0.000 0.000 0.000
Pt 2.088 2.088 2.088
```

Its formation energy without anion corrections is 769 meV/atom. The density of states at the Fermi level comes out at 0.362 states/eV/atom. As for the crystal system: cubic. The calculated volume comes out at 73 Å³/f.u.

---

7.
VASP calculation (PBE) on crystalline BePtSe2 at its relaxed geometry.

The structure in extended XYZ format:
```
4
Lattice="3.066 -0.004 0.000 -0.109 3.064 0.000 0.000 0.000 7.805" Properties=species:S:1:pos:R:3 pbc="T T T"
Be 0.000 0.000 4.273
Se 0.000 0.000 7.203
Se 1.479 1.530 2.765
Pt 1.479 1.530 5.271
```

Its formation energy without anion corrections is -29 meV/atom. The density of states at the Fermi level comes out at 0.249 states/eV/atom. As for the crystal system: orthorhombic. The calculated volume comes out at 73 Å³/f.u.

---

8.
VASP calculation (PBE) on crystalline BePtSe2 at its relaxed geometry.

The structure in extended XYZ format:
```
4
Lattice="-4.347 -0.244 3.047 -1.481 -0.713 5.054 -0.197 5.773 1.629" Properties=species:S:1:pos:R:3 pbc="T T T"
Be -3.204 1.562 4.942
Se -5.661 -0.004 8.086
Se -4.093 2.782 6.497
Pt -1.905 1.928 3.171
```

Its formation energy without anion corrections is -352 meV/atom. As for the crystal system: monoclinic. The calculated volume comes out at 105 Å³/f.u.